(1)
Computed, not measured: a geometry-optimized Tb2CeTlN structure at the PBE-GGA level of DFT.

Computed properties:
- total moment (μB per cell) = 0.73
- ΔE_f (raw) (eV/atom) = -0.8401
- space-group type = P4/mmm
- uncorrected energy (eV/atom) = -6.02

Lattice parameters (Å, degrees): 4.8965 4.8965 4.8586 90.00 90.00 90.00
Closest atoms and distances in Å follow each position.
Element x y z (fractional)
Tb1 0.0000 0.5000 0.0000  2 N 2.45
Tb2 0.5000 0.0000 0.0000  2 N 2.45
Ce1 0.0000 0.0000 0.5000  2 N 2.43
Tl1 0.5000 0.5000 0.5000  8 Tb 3.45, 4 Ce 3.46
N1 0.0000 0.0000 0.0000  2 Ce 2.43, 4 Tb 2.45



(2)
Computed, not measured: a geometry-optimized TbCe2TmN4 structure at the PBE-GGA level of DFT.

Computed properties:
- total moment (μB per cell) = 0.54
- ΔE_f (raw) (eV/atom) = -1.6058
- space-group type = P2/m
- uncorrected energy (eV/atom) = -8.39

Lattice parameters (Å, degrees): 6.0767 3.5077 6.0841 90.00 109.43 90.00
Closest atoms and distances in Å follow each position.
Element x y z (fractional)
Tb1 0.0000 0.0000 0.0000  6 N 2.48
Ce1 0.0000 0.5000 0.5000  6 N 2.51
Ce2 0.5000 0.0000 0.5000  6 N 2.48
Tm1 0.5000 0.5000 0.0000  6 N 2.45
N1 0.2531 0.5000 0.2476  1 Tm 2.45, 3 Ce 2.48-2.51, 2 Tb 2.48
N2 0.2556 0.0000 0.7553  2 Tm 2.45, 3 Ce 2.48-2.51, 1 Tb 2.48
N3 0.7444 0.0000 0.2447  2 Tm 2.45, 3 Ce 2.48-2.51, 1 Tb 2.48
N4 0.7469 0.5000 0.7524  1 Tm 2.45, 3 Ce 2.48-2.51, 2 Tb 2.48